Computed, not measured: PrY6Er3Th2 after structural relaxation at the PBE level of DFT.

```
12
Lattice="3.103 -5.369 0.000 3.103 5.369 0.000 -2.070 0.000 11.596" Properties=species:S:1:pos:R:3 pbc="T T T"
Pr 0.000 0.000 0.000
Y 1.052 1.813 2.898
Y 0.023 0.000 8.698
Y 1.052 -1.813 2.898
Y 3.084 1.813 8.698
Y 4.113 0.000 2.899
Y 3.084 -1.813 8.698
Er 2.068 3.581 5.798
Er 2.068 0.000 5.798
Er 2.068 -3.581 5.798
Th 3.103 1.790 0.000
Th 3.103 -1.790 0.000
```

Results
Calculated density (g/cm3): 7.05
Total magnetic moment (μB/cell): 0.00
D(E_F) (states/eV per atom): 1.54
Formation enthalpy at 0 K (kcal/mol of atoms): 0.9